Sr5Bi2As | PBE | optimized geometry

a = 13.4159 Å, b = 10.0147 Å, c = 8.7868 Å
α = 90.00°, β = 90.00°, γ = 90.00°
Positions (direct):
Sr: 0.0018 0.2500 0.0434
Sr: 0.0739 0.0365 0.6837
Sr: 0.0739 0.4635 0.6837
Sr: 0.2013 0.7500 0.3622
Sr: 0.2138 0.2500 0.3345
Sr: 0.2862 0.7500 0.8345
Sr: 0.2987 0.2500 0.8622
Sr: 0.4261 0.5365 0.1837
Sr: 0.4261 0.9635 0.1837
Sr: 0.4982 0.7500 0.5434
Sr: 0.5018 0.2500 0.4566
Sr: 0.5739 0.0365 0.8163
Sr: 0.5739 0.4635 0.8163
Sr: 0.7013 0.7500 0.1378
Sr: 0.7138 0.2500 0.1655
Sr: 0.7862 0.7500 0.6655
Sr: 0.7987 0.2500 0.6378
Sr: 0.9261 0.5365 0.3163
Sr: 0.9261 0.9635 0.3163
Sr: 0.9982 0.7500 0.9566
Bi: 0.1713 0.5103 0.0675
Bi: 0.1713 0.9897 0.0675
Bi: 0.3287 0.0103 0.5675
Bi: 0.3287 0.4897 0.5675
Bi: 0.6713 0.5103 0.4325
Bi: 0.6713 0.9897 0.4325
Bi: 0.8287 0.0103 0.9325
Bi: 0.8287 0.4897 0.9325
As: 0.0137 0.7500 0.5740
As: 0.4863 0.2500 0.0740
As: 0.5137 0.7500 0.9260
As: 0.9863 0.2500 0.4260

Summary:
As for the space group: No. 62. As for the formation energy: -0.96 eV/atom. The value obtained for the calculated volume is 36.89 Å³/atom.